Record 1
SrZr2P | Alexandria via LeMat-Bulk | PBE | relaxed; magnetization = 0.00 μB per formula unit; calculated formation energy = -89 kJ/mol of formula units; SG = Cmmm (65)
1.0
4.028 0.000 0.000
0.000 5.364 0.000
0.000 0.000 9.402
Sr Zr P
2 4 2
direct
0.000 0.000 0.000
0.500 0.500 0.000
0.000 0.500 0.327
0.000 0.500 0.673
0.500 0.000 0.327
0.500 0.000 0.673
0.000 0.000 0.500
0.500 0.500 0.500

=====

Record 2
Sr2ZrP | Alexandria via LeMat-Bulk | PBE | relaxed; magnetization = 0.00 μB per formula unit; calculated formation energy = -151 kJ/mol of formula units; SG = P4mm (99)
1.0
3.703 0.000 0.000
0.000 3.703 0.000
0.000 0.000 9.270
Sr Zr P
2 1 1
direct
0.000 0.000 0.000
0.500 0.500 0.372
0.000 0.000 0.654
0.500 0.500 0.712

=====

Record 3
Sr2ZrP | Alexandria via LeMat-Bulk | PBE | relaxed; magnetization = 1.01 μB per formula unit; calculated formation energy = -117 kJ/mol of formula units; SG = Imm2 (44)
1.0
3.780 0.000 0.000
0.000 5.711 0.000
0.000 0.000 11.674
Sr Zr P
4 2 2
direct
0.000 0.000 0.000
0.000 0.500 0.186
0.500 0.000 0.686
0.500 0.500 0.500
0.000 0.500 0.820
0.500 0.000 0.320
0.000 0.000 0.467
0.500 0.500 0.967

=====

Record 4
SrZrP3 | Alexandria via LeMat-Bulk | PBE | relaxed; magnetization = 0.00 μB per formula unit; calculated formation energy = -230 kJ/mol of formula units; SG = Pm-3m (221)
1.0
5.054 0.000 0.000
0.000 5.054 0.000
0.000 0.000 5.054
Sr Zr P
1 1 3
direct
0.000 0.000 0.000
0.500 0.500 0.500
0.000 0.500 0.500
0.500 0.000 0.500
0.500 0.500 0.000

=====

Record 5
SrZr2P | Alexandria via LeMat-Bulk | PBE | relaxed; magnetization = 1.85 μB per formula unit; calculated formation energy = 110 kJ/mol of formula units; SG = F-43m (216)
1.0
7.181 0.000 0.000
0.000 7.181 0.000
0.000 0.000 7.181
Sr Zr P
4 8 4
direct
0.000 0.000 0.000
0.000 0.500 0.500
0.500 0.000 0.500
0.500 0.500 0.000
0.000 0.000 0.500
0.000 0.500 0.000
0.250 0.250 0.250
0.250 0.750 0.750
0.500 0.000 0.000
0.500 0.500 0.500
0.750 0.250 0.750
0.750 0.750 0.250
0.250 0.250 0.750
0.250 0.750 0.250
0.750 0.250 0.250
0.750 0.750 0.750

=====

Record 6
SrZrP2 | Alexandria via LeMat-Bulk | PBE | relaxed; magnetization = 0.00 μB per formula unit; calculated formation energy = -232 kJ/mol of formula units; SG = C2/m (12)
1.0
7.241 0.000 0.000
0.000 7.404 0.000
-0.852 0.000 3.207
Sr Zr P
2 2 4
direct
0.000 0.000 0.000
0.500 0.500 0.000
0.000 0.500 0.000
0.500 0.000 0.000
0.250 0.250 0.500
0.250 0.750 0.500
0.750 0.250 0.500
0.750 0.750 0.500